A plane-wave DFT calculation with PBE-GGA was carried out for an optimized crystal structure of Hg3Ge5Br12.

Computed properties:
* density of states at the Fermi level: 0.8377 states/eV/atom
* ΔE_f (raw): -0.330 eV per atom
* E: -202.704 eV for the cell shown

Lattice parameters (Å, degrees): 15.648 15.648 15.648 109.47 109.47 109.47
Atoms (fractional coordinates):
Hg: 0.125 0.250 0.375
Hg: 0.125 0.375 0.750
Hg: 0.250 0.375 0.125
Hg: 0.250 0.875 0.625
Hg: 0.375 0.125 0.250
Hg: 0.375 0.750 0.125
Hg: 0.625 0.250 0.875
Hg: 0.625 0.875 0.750
Hg: 0.750 0.125 0.375
Hg: 0.750 0.625 0.875
Hg: 0.875 0.625 0.250
Hg: 0.875 0.750 0.625
Ge: 0.000 0.000 0.000
Ge: 0.000 0.000 0.500
Ge: 0.000 0.500 0.000
Ge: 0.000 0.500 0.500
Ge: 0.125 0.750 0.875
Ge: 0.125 0.875 0.250
Ge: 0.250 0.125 0.875
Ge: 0.250 0.625 0.375
Ge: 0.375 0.250 0.625
Ge: 0.375 0.625 0.750
Ge: 0.500 0.000 0.000
Ge: 0.500 0.000 0.500
Ge: 0.500 0.500 0.000
Ge: 0.500 0.500 0.500
Ge: 0.625 0.375 0.250
Ge: 0.625 0.750 0.375
Ge: 0.750 0.375 0.625
Ge: 0.750 0.875 0.125
Ge: 0.875 0.125 0.750
Ge: 0.875 0.250 0.125
Br: 0.004 0.188 0.099
Br: 0.004 0.315 0.904
Br: 0.089 0.688 0.685
Br: 0.089 0.901 0.404
Br: 0.096 0.599 0.411
Br: 0.096 0.996 0.685
Br: 0.099 0.004 0.188
Br: 0.099 0.596 0.911
Br: 0.185 0.188 0.589
Br: 0.185 0.496 0.596
Br: 0.188 0.099 0.004
Br: 0.188 0.589 0.185
Br: 0.312 0.315 0.911
Br: 0.312 0.496 0.401
Br: 0.315 0.904 0.004
Br: 0.315 0.911 0.312
Br: 0.401 0.312 0.496
Br: 0.401 0.589 0.904
Br: 0.404 0.089 0.901
Br: 0.404 0.815 0.504
Br: 0.411 0.096 0.599
Br: 0.411 0.815 0.812
Br: 0.496 0.401 0.312
Br: 0.496 0.596 0.185
Br: 0.504 0.404 0.815
Br: 0.504 0.599 0.688
Br: 0.589 0.185 0.188
Br: 0.589 0.904 0.401
Br: 0.596 0.185 0.496
Br: 0.596 0.911 0.099
Br: 0.599 0.411 0.096
Br: 0.599 0.688 0.504
Br: 0.685 0.089 0.688
Br: 0.685 0.096 0.996
Br: 0.688 0.504 0.599
Br: 0.688 0.685 0.089
Br: 0.812 0.411 0.815
Br: 0.812 0.901 0.996
Br: 0.815 0.504 0.404
Br: 0.815 0.812 0.411
Br: 0.901 0.404 0.089
Br: 0.901 0.996 0.812
Br: 0.904 0.004 0.315
Br: 0.904 0.401 0.589
Br: 0.911 0.099 0.596
Br: 0.911 0.312 0.315
Br: 0.996 0.685 0.096
Br: 0.996 0.812 0.901